Record 1
Entry from the Alexandria database: a relaxed structure of TlAg2Se (GGA-PBE).

Cell: 4.641 4.641 6.797 Å, 113.72 113.72 49.80°
Element x y z (fractional)
Tl  0.000  0.000  0.000
Ag  0.202  0.202  0.742
Ag  0.423  0.423  0.520
Se  0.671  0.671  0.391

Summary:
Energy: -2.874 eV per atom
Symmetry: No. 8
Theoretical density: 8.3 Mg/m³
Total moment: 0.0 μB/f.u.
Uncorrected formation energy: 15 meV/atom
DOS(E_F): 0.76 states/eV/cell

Record 2
Entry from the Alexandria database: a relaxed structure of Tl5AgSe3 (GGA-PBE).

Cell: 8.266 8.266 10.500 Å, 106.49 106.49 67.32°
Element x y z (fractional)
Tl  0.070  0.070  0.349
Tl  0.161  0.597  0.284
Tl  0.178  0.822  0.000
Tl  0.263  0.263  0.927
Tl  0.403  0.839  0.716
Tl  0.597  0.161  0.284
Tl  0.737  0.737  0.073
Tl  0.822  0.178  0.000
Tl  0.839  0.403  0.716
Tl  0.930  0.930  0.651
Ag  0.416  0.416  0.706
Ag  0.584  0.584  0.294
Se  0.207  0.207  0.190
Se  0.214  0.214  0.616
Se  0.500  0.500  0.000
Se  0.500  0.500  0.500
Se  0.786  0.786  0.384
Se  0.793  0.793  0.810

Summary:
Energy: -2.965 eV per atom
Symmetry: No. 12
Theoretical density: 7.3 Mg/m³
Total moment: 0.0 μB/f.u.
Uncorrected formation energy: -172 meV/atom
DOS(E_F): 1.28 states/eV/cell

Record 3
Entry from the Alexandria database: a relaxed structure of Tl2AgSe (GGA-PBE).

Cell: 7.555 7.555 7.555 Å, 32.50 32.50 32.50°
Element x y z (fractional)
Tl  0.250  0.250  0.250
Tl  0.750  0.750  0.750
Ag  0.000  0.000  0.000
Se  0.500  0.500  0.500

Summary:
Energy: -2.833 eV per atom
Symmetry: No. 166
Theoretical density: 8.9 Mg/m³
Total moment: 0.0 μB/f.u.
Uncorrected formation energy: -66 meV/atom
DOS(E_F): 1.42 states/eV/cell
Offset from the most stable computed form: 62 meV per atom

Record 4
Entry from the Alexandria database: a relaxed structure of TlAg2Se (GGA-PBE).

Cell: 5.726 5.726 5.726 Å, 136.62 136.62 63.03°
Element x y z (fractional)
Tl  0.000  0.000  0.000
Ag  0.250  0.750  0.500
Ag  0.500  0.500  0.000
Se  0.750  0.250  0.500

Summary:
Energy: -2.784 eV per atom
Symmetry: No. 119
Theoretical density: 9.5 Mg/m³
Total moment: 0.0 μB/f.u.
Uncorrected formation energy: 105 meV/atom
DOS(E_F): 1.26 states/eV/cell

Record 5
Entry from the Alexandria database: a relaxed structure of Tl2AgSe (GGA-PBE).

Cell: 5.293 5.293 5.293 Å, 60.00 60.00 60.00°
Element x y z (fractional)
Tl  0.000  0.000  0.000
Tl  0.250  0.250  0.250
Ag  0.750  0.750  0.750
Se  0.500  0.500  0.500

Summary:
Energy: -2.707 eV per atom
Symmetry: No. 216
Theoretical density: 9.4 Mg/m³
Total moment: 0.0 μB/f.u.
Uncorrected formation energy: 60 meV/atom
DOS(E_F): 2.81 states/eV/cell
Offset from the most stable computed form: 189 meV per atom

Record 6
Entry from the Alexandria database: a relaxed structure of TlAg3Se (GGA-PBE).

Cell: 5.278 5.278 5.278 Å, 90.00 90.00 90.00°
Element x y z (fractional)
Tl  0.000  0.000  0.000
Ag  0.000  0.000  0.500
Ag  0.000  0.500  0.000
Ag  0.500  0.000  0.000
Se  0.500  0.500  0.500

Summary:
Energy: -2.060 eV per atom
Symmetry: No. 221
Theoretical density: 6.9 Mg/m³
Total moment: 0.0 μB/f.u.
Uncorrected formation energy: 820 meV/atom
DOS(E_F): 3.00 states/eV/cell
Offset from the most stable computed form: 576 meV per atom

Record 7
Entry from the Alexandria database: a relaxed structure of Tl2Ag2Se3 (GGA-PBE).

Cell: 9.437 9.437 8.549 Å, 90.00 90.00 151.28°
Element x y z (fractional)
Tl  0.068  0.932  0.750
Tl  0.121  0.879  0.250
Tl  0.879  0.121  0.750
Tl  0.932  0.068  0.250
Ag  0.289  0.711  0.076
Ag  0.289  0.711  0.424
Ag  0.711  0.289  0.576
Ag  0.711  0.289  0.924
Se  0.245  0.755  0.750
Se  0.435  0.565  0.530
Se  0.435  0.565  0.970
Se  0.565  0.435  0.030
Se  0.565  0.435  0.470
Se  0.755  0.245  0.250

Summary:
Energy: -3.105 eV per atom
Symmetry: No. 63
Theoretical density: 7.8 Mg/m³
Total moment: 0.0 μB/f.u.
Uncorrected formation energy: -121 meV/atom
DOS(E_F): 4.36 states/eV/cell

Record 8
Entry from the Alexandria database: a relaxed structure of TlAg2Se (GGA-PBE).

Cell: 6.424 6.424 6.424 Å, 39.90 39.90 39.90°
Element x y z (fractional)
Tl  0.000  0.000  0.000
Ag  0.501  0.501  0.501
Ag  0.761  0.761  0.761
Se  0.215  0.215  0.215

Summary:
Energy: -2.852 eV per atom
Symmetry: No. 160
Theoretical density: 8.4 Mg/m³
Total moment: 0.0 μB/f.u.
Uncorrected formation energy: 36 meV/atom
DOS(E_F): 1.63 states/eV/cell